# 1
The following is a DFT calculation (PBE) of a relaxed In2CoCl crystal.

## Properties
raw formation energy	-0.15	eV/atom
excess energy over the best structure of this formula in the dataset	0.000	eV/f.u.
volume	20.03	A^3/atom
N(E_F)	0.41	states/eV per atom
crystal system	orthorhombic

Unit cell a=3.207 b=3.203 c=7.796 alpha=89.96 beta=90.00 gamma=90.00
Last column: magnetic moment on the atom in μB.
Element x y z (fractional)
1 In 0.000 0.250 0.946  -0.01
2 In 0.000 0.250 0.554  -0.01
3 Co 0.500 0.750 0.750  0.84
4 Cl 0.500 0.250 0.250  -0.01

# 2
The following is a DFT calculation (PBE) of a relaxed InCoCl2 crystal.

## Properties
raw formation energy	0.33	eV/atom
excess energy over the best structure of this formula in the dataset	3.081	eV/f.u.
volume	21.94	A^3/atom
N(E_F)	0.81	states/eV per atom
crystal system	cubic

Unit cell a=4.988 b=4.988 c=4.988 alpha=60.00 beta=60.00 gamma=60.00
Last column: magnetic moment on the atom in μB.
Element x y z (fractional)
1 Cl 0.000 0.000 0.000  0.04
2 Co 0.500 0.500 0.500  2.00
3 Cl 0.750 0.750 0.750  -0.03
4 In 0.250 0.250 0.250  -0.03

# 3
The following is a DFT calculation (PBE) of a relaxed In2CoCl crystal.

## Properties
raw formation energy	0.08	eV/atom
excess energy over the best structure of this formula in the dataset	0.895	eV/f.u.
volume	22.66	A^3/atom
N(E_F)	1.08	states/eV per atom
crystal system	orthorhombic

Unit cell a=3.305 b=3.305 c=9.653 alpha=90.00 beta=90.00 gamma=120.75
Last column: magnetic moment on the atom in μB.
Element x y z (fractional)
1 Cl 0.000 0.000 0.569  0.11
2 Co 0.500 0.500 0.732  1.82
3 In 0.000 0.000 0.953  -0.02
4 In 0.500 0.500 0.245  -0.02

# 4
The following is a DFT calculation (PBE) of a relaxed In2CoCl crystal.

## Properties
raw formation energy	0.23	eV/atom
excess energy over the best structure of this formula in the dataset	1.515	eV/f.u.
volume	22.08	A^3/atom
N(E_F)	0.44	states/eV per atom
crystal system	orthorhombic

Unit cell a=5.608 b=5.608 c=5.608 alpha=144.65 beta=118.17 gamma=73.28
Last column: magnetic moment on the atom in μB.
Element x y z (fractional)
1 Co 0.250 0.750 0.500  1.57
2 In 0.027 0.027 0.000  -0.01
3 Cl 0.750 0.250 0.500  0.03
4 In 0.473 0.473 0.000  -0.01

- Which value of volume does entry 4 give?
  22.08 A^3/atom

- Which formula does entry 1 have?
  In2CoCl

What did the third record say?
The following is a DFT calculation (PBE) of a relaxed In2CoCl crystal.

## Properties
raw formation energy	0.08	eV/atom
excess energy over the best structure of this formula in the dataset	0.895	eV/f.u.
volume	22.66	A^3/atom
N(E_F)	1.08	states/eV per atom
crystal system	orthorhombic

Unit cell a=3.305 b=3.305 c=9.653 alpha=90.00 beta=90.00 gamma=120.75
Last column: magnetic moment on the atom in μB.
Element x y z (fractional)
1 Cl 0.000 0.000 0.569  0.11
2 Co 0.500 0.500 0.732  1.82
3 In 0.000 0.000 0.953  -0.02
4 In 0.500 0.500 0.245  -0.02